[1]
A PBEsol-optimized structure of Ca2TlSe. Source: the Alexandria database, functional meta-GGA SCAN.

Lattice parameters (Å, degrees): 7.473 7.473 7.473 90.00 90.00 90.00
Space group Fm-3m (No. 225)
Inequivalent atoms, fractional coordinates:
Ca1 0.250 0.250 0.250
Tl1 0.000 0.000 0.000
Se1 0.000 0.000 0.500

Summary:
Uncorrected formation energy: -870 meV per atom
DOS at the Fermi energy: 10.773 states/eV per cell

=====

[2]
A PBEsol-optimized structure of Be2HgAs. Source: the Alexandria database, functional meta-GGA SCAN.

Lattice parameters (Å, degrees): 3.485 3.485 9.919 90.00 90.00 90.00
Space group I-4m2 (No. 119)
Inequivalent atoms, fractional coordinates:
Be1 0.000 0.000 0.000
Be2 0.000 0.500 0.250
Hg1 0.000 0.000 0.500
As1 0.000 0.500 0.750

Summary:
VASP energy: -23.752 eV per atom
DOS at the Fermi energy: 2.846 states/eV per cell

=====

[3]
A PBEsol-optimized structure of LuTlO3. Source: the Alexandria database, functional meta-GGA SCAN.

Lattice parameters (Å, degrees): 5.730 8.267 5.630 90.00 90.00 90.00
Space group Pnma (No. 62)
Inequivalent atoms, fractional coordinates:
Lu1 0.000 0.000 0.000
Tl1 0.049 0.250 0.487
O1 0.086 0.750 0.125
O2 0.179 0.570 0.675

Summary:
Uncorrected formation energy: -2323 meV per atom

=====

[4]
A PBEsol-optimized structure of Lu3InC. Source: the Alexandria database, functional meta-GGA SCAN.

Lattice parameters (Å, degrees): 4.720 4.720 4.720 90.00 90.00 90.00
Space group Pm-3m (No. 221)
Inequivalent atoms, fractional coordinates:
Lu1 0.000 0.000 0.500
In1 0.500 0.500 0.500
C1 0.000 0.000 0.000

Summary:
VASP energy: -42.639 eV per atom
DOS at the Fermi energy: 0.283 states/eV per cell

=====

[5]
A PBEsol-optimized structure of ErSnPd. Source: the Alexandria database, functional meta-GGA SCAN.

Lattice parameters (Å, degrees): 7.4320 7.4320 3.8753 90.00 90.00 120.00
Space group P-62m (No. 189)
Inequivalent atoms, fractional coordinates:
Er1 0.0000 0.5943 0.0000
Sn1 0.0000 0.2608 0.5000
Pd1 0.0000 0.0000 0.0000
Pd2 0.3333 0.6667 0.5000

Summary:
VASP energy: -40.721 eV per atom
DOS at the Fermi energy: 3.327 states/eV per cell

=====

[6]
A PBEsol-optimized structure of BaTaSe2. Source: the Alexandria database, functional meta-GGA SCAN.

Lattice parameters (Å, degrees): 3.339 3.339 7.683 90.00 90.00 90.00
Space group P4/mmm (No. 123)
Inequivalent atoms, fractional coordinates:
Ba1 0.000 0.000 0.000
Ta1 0.000 0.000 0.500
Se1 0.500 0.500 0.306

Summary:
Uncorrected formation energy: -722 meV per atom
DOS at the Fermi energy: 1.334 states/eV per cell

=====

[7]
A PBEsol-optimized structure of RbAsRu2Se. Source: the Alexandria database, functional meta-GGA SCAN.

Lattice parameters (Å, degrees): 4.608 4.608 5.240 90.00 90.00 90.00
Space group P4/mmm (No. 123)
Inequivalent atoms, fractional coordinates:
Rb1 0.000 0.000 0.000
As1 0.500 0.500 0.000
Ru1 0.000 0.500 0.500
Se1 0.500 0.500 0.500

Summary:
Uncorrected formation energy: 942 meV per atom
DOS at the Fermi energy: 2.327 states/eV per cell

=====

[8]
A PBEsol-optimized structure of Tb2Si4Mo3. Source: the Alexandria database, functional meta-GGA SCAN.

Lattice parameters (Å, degrees): 6.806 6.862 6.710 90.00 109.00 90.00
Space group P2_1/c (No. 14)
Inequivalent atoms, fractional coordinates:
Tb1 0.190 0.169 0.061
Si1 0.090 0.545 0.869
Si2 0.496 0.632 0.629
Mo1 0.251 0.663 0.249
Mo2 0.500 0.000 0.500

Summary:
Uncorrected formation energy: -652 meV per atom
DOS at the Fermi energy: 6.879 states/eV per cell